Here is a relaxed TaCoAs4 crystal from Alexandria via LeMat-Bulk. Energies are from PBE.

Results
- total magnetic moment (μB per atom) = 0.2205
- calculated total energy (eV/atom) = -5.43

abc: 5.3273 5.3273 5.3273
angles: 60.00 60.00 60.00
Fractional positions:
As1 0.3751 0.3751 0.8747
As2 0.3751 0.8747 0.3751
As3 0.8747 0.3751 0.3751
As4 0.3751 0.3751 0.3751
Ta1 0.0000 0.0000 0.0000
Co1 0.7500 0.7500 0.7500


Here is a relaxed KFe2As crystal from Alexandria via LeMat-Bulk. Energies are from PBE.

Results
- total magnetic moment (μB per atom) = 1.0622
- calculated total energy (eV/atom) = -5.59

abc: 4.1321 4.1321 6.5476
angles: 71.86 71.86 59.99
Fractional positions:
K1 0.4981 0.4981 0.5058
Fe1 0.6795 0.6795 0.9610
Fe2 0.0068 0.0068 0.9794
As1 0.3156 0.3156 0.0538


Here is a relaxed LaErLu crystal from Alexandria via LeMat-Bulk. Energies are from PBE.

Results
- polymorph energy (0 for the lowest one) (meV/atom) = 0.0
- total magnetic moment (μB per atom) = 0.0001
- calculated total energy (eV/atom) = -4.63

abc: 3.5830 3.5830 7.9753
angles: 102.98 102.98 90.00
Fractional positions:
Lu1 0.0037 0.0037 0.0074
La1 0.3338 0.3338 0.6675
Er1 0.6625 0.6625 0.3250


Here is a relaxed BaZnCo3 crystal from Alexandria via LeMat-Bulk. Energies are from PBE.

Results
- polymorph energy (0 for the lowest one) (meV/atom) = 0.0
- total magnetic moment (μB per atom) = 0.8511
- calculated total energy (eV/atom) = -4.05

abc: 4.6628 4.6628 4.6628
angles: 90.00 90.00 90.00
Fractional positions:
Ba1 0.5000 0.5000 0.5000
Co1 0.5000 0.0000 0.0000
Co2 0.0000 0.0000 0.5000
Co3 0.0000 0.5000 0.0000
Zn1 0.0000 0.0000 0.0000


Going through the records in order, we get energy of formation values of 0.825, 0.081, 0.040, 0.857 eV per atom.